No. 1
The following is a DFT calculation (GGA-PBE) of a geometry-optimized NbSbPd structure.

It has space group I4/mmm (No. 139), with a = 4.066 Å, b = 4.066 Å, c = 14.082 Å, α = 90.00°, β = 90.00° and γ = 90.00°. Symmetry generates all atoms from Nb at (0.000, 0.500, 0.000), Sb at (0.000, 0.000, 0.157) and Pd at (0.000, 0.000, 0.354).

Its total magnetization is 0.000 μB per cell. The final energy is -6.8249 eV per atom. For the density of states at the Fermi level, the calculation gives 2.89 states/eV/f.u. The energy relative to the elements, uncorrected comes out at -0.36 eV per atom.

No. 2
The following is a DFT calculation (GGA-PBE) of a geometry-optimized NbSbPd structure.

It has space group P4/nmm (No. 129, origin choice 2), with a = 4.044 Å, b = 4.044 Å, c = 7.107 Å, α = 90.00°, β = 90.00° and γ = 90.00°. Symmetry generates all atoms from Nb at (0.250, 0.750, 0.000), Sb at (0.250, 0.250, 0.316) and Pd at (0.250, 0.250, 0.708).

Its total magnetization is 0.000 μB per cell. The final energy is -6.8161 eV per atom. For the density of states at the Fermi level, the calculation gives 2.59 states/eV/f.u. The energy relative to the elements, uncorrected comes out at -0.35 eV per atom.

No. 3
The following is a DFT calculation (GGA-PBE) of a geometry-optimized NbSb2Pd structure.

It has space group Fm-3m (No. 225), with a = 6.855 Å, b = 6.855 Å, c = 6.855 Å, α = 90.00°, β = 90.00° and γ = 90.00°. Symmetry generates all atoms from Nb at (0.000, 0.000, 0.000), Sb at (0.250, 0.250, 0.250) and Pd at (0.000, 0.000, 0.500).

Its total magnetization is 0.000 μB per cell. The final energy is -5.8887 eV per atom. For the density of states at the Fermi level, the calculation gives 2.85 states/eV/f.u. The energy relative to the elements, uncorrected comes out at -0.01 eV per atom.

No. 4
The following is a DFT calculation (GGA-PBE) of a geometry-optimized NbSbPd structure.

It has space group P3m1 (No. 156), with a = 4.5772 Å, b = 4.5772 Å, c = 3.0516 Å, α = 90.00°, β = 90.00° and γ = 120.00°. Symmetry generates all atoms from Nb at (0.0000, 0.0000, 0.0000), Sb at (0.3333, 0.6667, 0.5022) and Pd at (0.6667, 0.3333, 0.4978).

Its total magnetization is 0.000 μB per cell. The final energy is -6.6254 eV per atom. For the density of states at the Fermi level, the calculation gives 3.06 states/eV/f.u. The energy relative to the elements, uncorrected comes out at -0.16 eV per atom.